[1]
Entry from the Alexandria database: a relaxed CaTe3Os crystal (PBE).

Output
total moment = 0.001 μB per atom
volume = 30.2 Å³/atom
electronic total energy = -0.162 hartree per atom
crystal system = cubic

Lattice parameters (Å, degrees): 5.327 5.327 5.327 90.00 90.00 90.00
Fractional coordinates of all 5 atoms:
Te: 0.000 0.500 0.000
Te: 0.000 0.000 0.500
Os: 0.000 0.000 0.000
Ca: 0.500 0.500 0.500
Te: 0.500 0.000 0.000



[2]
Entry from the Alexandria database: a relaxed NpAl2 crystal (PBE).

Output
total moment = 1.437 μB per atom
volume = 19.3 Å³/atom
crystal system = cubic
formation energy from the elements = -42 kJ/mol of formula units

Lattice parameters (Å, degrees): 5.475 5.475 5.475 60.00 60.00 60.00
Site moments in Bohr magnetons follow the coordinates.
Fractional coordinates of all 6 atoms:
Np: 0.250 0.250 0.250  3.96
Al: 0.125 0.625 0.625  -0.02
Al: 0.625 0.625 0.625  -0.02
Np: 0.000 0.000 0.000  3.96
Al: 0.625 0.125 0.625  -0.02
Al: 0.625 0.625 0.125  -0.02